Entry 1:
# Cd3Cl5 PBE relaxed
# ΔE to the lowest computed polymorph ... 0.45 eV per formula unit
# Formation energy (no corrections) ... -0.72 eV/atom
data_Cd3Cl5
_chemical_formula_sum 'Cd3 Cl5'
_cell_length_a 7.4516
_cell_length_b 7.4516
_cell_length_c 3.8427
_cell_angle_alpha 90.00
_cell_angle_beta 90.00
_cell_angle_gamma 111.81
_space_group_name_H-M_alt 'P 1'
_space_group_IT_number 1
loop_
_space_group_symop_operation_xyz
'x,y,z'
loop_
_atom_site_label
_atom_site_type_symbol
_atom_site_fract_x
_atom_site_fract_y
_atom_site_fract_z
_atom_site_occupancy
Cd1 Cd 0.0000 0.0000 0.0000 1
Cd2 Cd 0.3334 0.6666 0.5000 1
Cd3 Cd 0.6666 0.3334 0.5000 1
Cl1 Cl 0.0000 0.5000 0.0000 1
Cl2 Cl 0.1961 0.1961 0.5000 1
Cl3 Cl 0.5000 0.0000 0.0000 1
Cl4 Cl 0.5000 0.5000 0.0000 1
Cl5 Cl 0.8039 0.8039 0.5000 1

Entry 2:
# Ca8In2Ge PBE relaxed
# DFT formation energy ... -0.316 eV/atom
data_Ca8In2Ge
_chemical_formula_sum 'Ca8 In2 Ge1'
_cell_length_a 9.7141
_cell_length_b 9.7141
_cell_length_c 9.7141
_cell_angle_alpha 146.81
_cell_angle_beta 134.88
_cell_angle_gamma 57.15
_space_group_name_H-M_alt 'P 1'
_space_group_IT_number 1
loop_
_space_group_symop_operation_xyz
'x,y,z'
loop_
_atom_site_label
_atom_site_type_symbol
_atom_site_fract_x
_atom_site_fract_y
_atom_site_fract_z
_atom_site_occupancy
Ca1 Ca 0.1268 0.3654 0.7614 1
Ca2 Ca 0.1946 0.1946 0.0000 1
Ca3 Ca 0.2513 0.0000 0.2513 1
Ca4 Ca 0.3959 0.6346 0.7614 1
Ca5 Ca 0.6041 0.3654 0.2386 1
Ca6 Ca 0.7487 0.0000 0.7487 1
Ca7 Ca 0.8054 0.8054 0.0000 1
Ca8 Ca 0.8732 0.6346 0.2386 1
In1 In 0.3190 0.8190 0.5000 1
In2 In 0.6810 0.1810 0.5000 1
Ge1 Ge 0.0000 0.5000 0.5000 1

Entry 3:
# GaSn2I PBE relaxed
# ΔE to the lowest computed polymorph ... 0.38 eV per formula unit
# Formation energy (no corrections) ... 0.23 eV/atom
data_GaSn2I
_chemical_formula_sum 'Ga1 Sn2 I1'
_cell_length_a 5.4093
_cell_length_b 5.4093
_cell_length_c 5.4093
_cell_angle_alpha 60.00
_cell_angle_beta 60.00
_cell_angle_gamma 60.00
_space_group_name_H-M_alt 'P 1'
_space_group_IT_number 1
loop_
_space_group_symop_operation_xyz
'x,y,z'
loop_
_atom_site_label
_atom_site_type_symbol
_atom_site_fract_x
_atom_site_fract_y
_atom_site_fract_z
_atom_site_occupancy
Ga1 Ga 0.0000 0.0000 0.0000 1
Sn1 Sn 0.2500 0.2500 0.2500 1
Sn2 Sn 0.7500 0.7500 0.7500 1
I1 I 0.5000 0.5000 0.5000 1

Entry 4:
# Mg2In5Sn2 PBE relaxed
# DFT formation energy ... 0.039 eV/atom
data_Mg2In5Sn2
_chemical_formula_sum 'Mg2 In5 Sn2'
_cell_length_a 4.2943
_cell_length_b 6.6972
_cell_length_c 9.1871
_cell_angle_alpha 69.24
_cell_angle_beta 89.78
_cell_angle_gamma 89.07
_space_group_name_H-M_alt 'P 1'
_space_group_IT_number 1
loop_
_space_group_symop_operation_xyz
'x,y,z'
loop_
_atom_site_label
_atom_site_type_symbol
_atom_site_fract_x
_atom_site_fract_y
_atom_site_fract_z
_atom_site_occupancy
Mg1 Mg 0.2357 0.3121 0.2688 1
Mg2 Mg 0.7643 0.6879 0.7312 1
In1 In 0.2450 0.0445 0.6164 1
In2 In 0.2599 0.3898 0.9132 1
In3 In 0.5000 0.5000 0.5000 1
In4 In 0.7401 0.6102 0.0868 1
In5 In 0.7550 0.9555 0.3836 1
Sn1 Sn 0.2452 0.9201 0.1463 1
Sn2 Sn 0.7548 0.0799 0.8537 1

Entry 5:
# BaCaPdAu PBE relaxed
# ΔE to the lowest computed polymorph ... 0.00 eV per formula unit
# DFT formation energy ... -0.638 eV/atom
data_BaCaPdAu
_chemical_formula_sum 'Ba1 Ca1 Pd1 Au1'
_cell_length_a 4.9919
_cell_length_b 4.9919
_cell_length_c 6.2035
_cell_angle_alpha 113.84
_cell_angle_beta 113.84
_cell_angle_gamma 59.96
_space_group_name_H-M_alt 'P 1'
_space_group_IT_number 1
loop_
_space_group_symop_operation_xyz
'x,y,z'
loop_
_atom_site_label
_atom_site_type_symbol
_atom_site_fract_x
_atom_site_fract_y
_atom_site_fract_z
_atom_site_occupancy
Ba1 Ba 0.0000 0.0000 0.0000 1
Ca1 Ca 0.5040 0.5040 0.5118 1
Pd1 Pd 0.2086 0.2086 0.6249 1
Au1 Au 0.7882 0.7882 0.3650 1

Entry 6:
# La2PRu PBE relaxed
# DFT formation energy ... -0.609 eV/atom
data_La2PRu
_chemical_formula_sum 'La2 P1 Ru1'
_cell_length_a 4.2165
_cell_length_b 4.2165
_cell_length_c 5.8470
_cell_angle_alpha 90.00
_cell_angle_beta 90.00
_cell_angle_gamma 90.00
_space_group_name_H-M_alt 'P 1'
_space_group_IT_number 1
loop_
_space_group_symop_operation_xyz
'x,y,z'
loop_
_atom_site_label
_atom_site_type_symbol
_atom_site_fract_x
_atom_site_fract_y
_atom_site_fract_z
_atom_site_occupancy
La1 La 0.0000 0.0000 0.0000 1
La2 La 0.5000 0.5000 0.4521 1
P1 P 0.5000 0.5000 0.9531 1
Ru1 Ru 0.0000 0.0000 0.4356 1

Let's list density of states at the Fermi level in order: 1.733, 7.065, 2.707, 2.975, 1.577, 3.897 states/eV per cell.